## TlCd3Co (SCAN)

Data for a crystal of TlCd3Co relaxed with PBEsol.

The structure in extended XYZ format:
```
5
Lattice="4.9170 0.0000 0.0000 0.0000 4.9170 0.0000 0.0000 0.0000 4.9170" Properties=species:S:1:pos:R:3 pbc="T T T"
Tl 2.4585 2.4585 2.4585
Co 0.0000 0.0000 0.0000
Cd 0.0000 2.4585 0.0000
Cd 0.0000 0.0000 2.4585
Cd 2.4585 0.0000 0.0000
```

E_form = 0.428 eV per atom
Total moment = 0.001 μB per atom
SG = Pm-3m